(1)
Entry from the Alexandria database: AlIr3Pb after structural relaxation (PBE-GGA).

Results
Formation energy from the elements in meV/atom: 2096
Symmetry: Pm-3m, No. 221
Energy above the most stable polymorph in this dataset in eV/atom: 1.268

Structure (POSCAR):
```
AlIr3Pb
1.0
4.940 0.000 0.000
0.000 4.940 0.000
0.000 0.000 4.940
Al Ir Pb
1 3 1
direct
0.000 0.000 0.000 Al
0.000 0.500 0.500 Ir
0.500 0.000 0.500 Ir
0.500 0.500 0.000 Ir
0.500 0.500 0.500 Pb
```



(2)
Entry from the Alexandria database: CsZnSbH2 after structural relaxation (PBE-GGA).

Results
Symmetry: Cm, No. 8
Energy above the most stable polymorph in this dataset in eV/atom: 0.000

Structure (POSCAR):
```
CsZnSbH2
1.0
4.056 -2.351 0.000
4.056 2.351 0.000
-0.020 0.000 6.390
Cs Zn Sb H
1 1 1 2
direct
0.000 0.000 0.000 Cs
0.333 0.333 0.564 Zn
0.667 0.667 0.478 Sb
0.333 0.333 0.823 H
0.666 0.666 0.204 H
```



(3)
Entry from the Alexandria database: ZrFe2Tc after structural relaxation (PBE-GGA).

Results
Formation energy from the elements in meV/atom: 67
Symmetry: F-43m, No. 216
Energy above the most stable polymorph in this dataset in eV/atom: 0.059

Structure (POSCAR):
```
ZrFe2Tc
1.0
0.000 3.084 3.084
3.084 0.000 3.084
3.084 3.084 0.000
Zr Fe Tc
1 2 1
direct
0.000 0.000 0.000 Zr
0.500 0.500 0.500 Fe
0.750 0.750 0.750 Fe
0.250 0.250 0.250 Tc
```



(4)
Entry from the Alexandria database: La2RuCl2 after structural relaxation (PBE-GGA).

Results
Symmetry: C2/m, No. 12
Uncorrected formation energy in eV/atom: -1.3798

Structure (POSCAR):
```
La2RuCl2
1.0
10.969 -2.125 0.000
10.969 2.125 0.000
-1.966 0.000 6.536
La Ru Cl
4 2 4
direct
0.156 0.156 0.320 La
0.318 0.318 0.180 La
0.682 0.682 0.820 La
0.844 0.844 0.680 La
0.251 0.251 0.666 Ru
0.749 0.749 0.334 Ru
0.093 0.093 0.887 Cl
0.420 0.420 0.574 Cl
0.580 0.580 0.426 Cl
0.907 0.907 0.113 Cl
```



(5)
Entry from the Alexandria database: Dy4Tm6Zr after structural relaxation (PBE-GGA).

Results
Formation energy from the elements in meV/atom: 149
Symmetry: P4/mnc, No. 128

Structure (POSCAR):
```
Dy4Tm6Zr
1.0
8.657 0.000 0.000
0.000 8.657 0.000
0.000 0.000 8.782
Dy Tm Zr
8 12 2
direct
0.146 0.354 0.250 Dy
0.146 0.354 0.750 Dy
0.354 0.854 0.250 Dy
0.354 0.854 0.750 Dy
0.646 0.146 0.250 Dy
0.646 0.146 0.750 Dy
0.854 0.646 0.250 Dy
0.854 0.646 0.750 Dy
0.000 0.000 0.174 Tm
0.000 0.000 0.826 Tm
0.152 0.653 0.500 Tm
0.153 0.652 0.000 Tm
0.347 0.152 0.500 Tm
0.348 0.153 0.000 Tm
0.500 0.500 0.326 Tm
0.500 0.500 0.674 Tm
0.652 0.847 0.000 Tm
0.653 0.848 0.500 Tm
0.847 0.348 0.000 Tm
0.848 0.347 0.500 Tm
0.000 0.000 0.500 Zr
0.500 0.500 0.000 Zr
```



(6)
Entry from the Alexandria database: YTe4 after structural relaxation (PBE-GGA).

Results
Symmetry: I4/mmm, No. 139
Energy above the most stable polymorph in this dataset in eV/atom: 0.219
Uncorrected formation energy in eV/atom: -0.1753

Structure (POSCAR):
```
YTe4
1.0
-3.134 3.134 4.742
3.134 -3.134 4.742
3.134 3.134 -4.742
Y Te
1 4
direct
0.000 0.000 0.000 Y
0.250 0.750 0.500 Te
0.306 0.306 0.000 Te
0.694 0.694 0.000 Te
0.750 0.250 0.500 Te
```